1:
Material: DyYAgPd
Method: DFT, PBE
State: optimized geometry

```
4
Lattice="3.565 0.000 0.000 0.000 3.565 0.000 0.000 0.000 7.215" Properties=species:S:1:pos:R:3 pbc="T T T"
Dy 1.783 1.783 0.851
Ag 0.000 0.000 6.200
Y 1.783 1.783 4.310
Pd 0.000 0.000 2.548
```


2:
Material: DyYAgPd
Method: DFT, PBE
State: optimized geometry

```
4
Lattice="-0.399 0.874 -4.963 -4.300 -1.095 -2.422 -2.975 3.726 -1.680" Properties=species:S:1:pos:R:3 pbc="T T T"
Pd -3.837 1.752 -4.532
Ag 0.000 0.000 0.000
Y -5.755 2.628 -6.798
Dy -1.918 0.876 -2.266
```


Going by the energies, 1 is most stable and the next is 10 meV/atom up.


1:
Material: PmDyAg3
Method: DFT, PBE
State: optimized geometry

```
20
Lattice="4.998 0.000 0.000 0.000 9.269 -0.618 0.000 -4.192 10.479" Properties=species:S:1:pos:R:3 pbc="T T T"
Ag 3.749 2.092 2.458
Ag 1.250 3.080 0.933
Ag 3.749 4.631 7.389
Ag 1.249 6.760 0.014
Ag 3.749 5.048 4.298
Ag 1.250 0.029 5.563
Ag 1.250 0.446 2.472
Ag 3.749 -0.541 3.997
Ag 1.249 5.618 5.864
Ag 3.749 -1.682 9.847
Ag 3.749 1.998 8.928
Ag 1.250 2.985 7.403
Dy 3.749 4.900 1.213
Dy 1.249 0.177 8.648
Dy 3.749 -1.830 6.762
Dy 1.250 6.908 3.099
Pm 3.749 8.570 0.354
Pm 1.250 3.238 3.959
Pm 3.749 1.840 5.902
Pm 1.250 -3.493 9.508
```


2:
Material: PmDyAg3
Method: DFT, PBE
State: optimized geometry

```
10
Lattice="3.531 0.000 -0.486 0.000 4.801 0.000 0.150 0.000 14.157" Properties=species:S:1:pos:R:3 pbc="T T T"
Ag 1.233 3.601 8.957
Ag 2.232 3.601 3.144
Ag 1.825 1.200 13.252
Ag 1.857 3.601 0.419
Ag 2.448 1.200 4.714
Ag 1.449 1.200 10.527
Pm 3.395 3.601 11.589
Pm 0.287 1.200 2.082
Dy 0.803 3.601 5.831
Dy 2.878 1.200 7.840
```


Going by the energies, 2 is most stable and the next is 28 meV/atom up.


1:
Material: Pm2DyAg2
Method: DFT, PBE
State: optimized geometry

```
10
Lattice="3.672 0.000 -0.491 0.000 5.319 0.000 -0.019 0.000 13.801" Properties=species:S:1:pos:R:3 pbc="T T T"
Ag 1.636 3.989 12.180
Ag 2.351 3.989 3.591
Ag 1.302 1.330 9.719
Ag 2.017 1.330 1.129
Pm 2.799 1.330 6.954
Pm 3.484 1.330 12.030
Pm 0.854 3.989 6.356
Pm 0.169 3.989 1.279
Dy 3.125 3.989 9.375
Dy 0.528 1.330 3.935
```


2:
Material: Pm2DyAg2
Method: DFT, PBE
State: optimized geometry

```
10
Lattice="-1.406 -1.661 -4.202 3.643 -4.485 0.555 -10.549 -2.286 4.433" Properties=species:S:1:pos:R:3 pbc="T T T"
Pm -3.253 -5.460 -0.750
Pm -5.059 -2.973 1.535
Pm -1.508 -2.553 -2.483
Pm -6.804 -5.880 3.269
Dy 0.302 -4.518 0.353
Dy -8.614 -3.915 0.432
Ag -9.341 -4.151 3.433
Ag -3.951 -5.794 2.280
Ag 1.029 -4.282 -2.648
Ag -4.361 -2.639 -1.495
```


Going by the energies, 1 is most stable and the next is 124 meV/atom up.


1:
Material: PmDy4Ag
Method: DFT, PBE
State: optimized geometry

```
12
Lattice="5.433 0.000 0.000 0.000 6.479 0.000 -2.716 0.000 10.499" Properties=species:S:1:pos:R:3 pbc="T T T"
Dy 2.716 0.581 5.088
Dy 2.716 2.415 0.717
Dy 0.000 5.655 9.782
Dy 0.000 3.821 5.411
Dy 0.000 4.604 1.400
Dy 0.000 0.492 6.818
Dy 2.716 1.364 9.098
Dy 2.716 3.731 3.680
Pm 0.000 1.414 2.836
Pm 2.716 4.654 7.662
Ag 0.000 3.021 8.348
Ag 2.716 6.261 2.151
```


2:
Material: PmDy4Ag
Method: DFT, PBE
State: optimized geometry

```
6
Lattice="-2.372 -1.508 -2.206 2.657 -1.020 -2.159 1.094 -11.980 7.009" Properties=species:S:1:pos:R:3 pbc="T T T"
Dy 1.037 -11.057 3.547
Dy 0.696 -7.620 4.458
Dy 0.343 -3.451 -0.903
Dy 0.398 -4.360 2.551
Pm 0.000 0.000 0.000
Ag 0.690 -7.254 1.322
```


Going by the energies, 2 is most stable and the next is 132 meV/atom up.


1:
Material: PmDyAg
Method: DFT, PBE
State: optimized geometry

```
3
Lattice="-0.746 -1.108 -3.470 -1.098 -4.660 1.724 -3.662 3.518 -0.336" Properties=species:S:1:pos:R:3 pbc="T T T"
Ag -3.080 0.387 -0.915
Dy -2.395 -2.590 -1.016
Pm -0.032 -0.048 -0.149
```


2:
Material: PmDyAg
Method: DFT, PBE
State: optimized geometry

```
3
Lattice="-1.219 1.574 3.016 0.562 -3.067 1.828 6.304 2.679 -1.017" Properties=species:S:1:pos:R:3 pbc="T T T"
Pm 3.811 1.233 0.896
Ag 1.584 -0.128 2.872
Dy 0.252 0.082 0.059
```


3:
Material: PmDyAg
Method: DFT, PBE
State: optimized geometry

```
12
Lattice="-3.438 -1.406 3.534 -2.493 -7.119 -5.257 4.919 -4.063 3.169" Properties=species:S:1:pos:R:3 pbc="T T T"
Dy -2.877 -4.670 0.922
Dy 0.434 -4.269 4.303
Dy -1.447 -8.318 -2.856
Dy 1.865 -7.917 0.524
Ag 0.081 -6.917 2.906
Ag 0.621 -9.829 -1.446
Ag -1.094 -5.670 -1.460
Ag -1.633 -2.758 2.893
Pm -1.762 -8.014 0.677
Pm -4.547 -6.911 -1.593
Pm 3.534 -5.677 3.040
Pm 0.750 -4.574 0.770
```


4:
Material: PmDyAg
Method: DFT, PBE
State: optimized geometry

```
3
Lattice="-4.001 2.995 0.896 -3.271 1.056 -3.752 -4.686 -1.982 0.089" Properties=species:S:1:pos:R:3 pbc="T T T"
Dy -2.990 0.517 -0.692
Ag -4.002 2.994 0.895
Pm -8.968 1.553 -2.074
```


Going by the energies, 3 is most stable and the next is 17 meV/atom up.


1:
Material: Pm3DyAg2
Method: DFT, PBE
State: optimized geometry

```
12
Lattice="5.213 0.000 0.000 0.000 7.008 0.000 0.000 0.000 9.354" Properties=species:S:1:pos:R:3 pbc="T T T"
Ag 2.607 5.100 7.895
Ag 0.000 1.906 6.087
Ag 2.607 1.596 1.460
Ag 0.000 5.410 3.268
Pm 0.000 5.892 6.229
Pm 0.000 6.943 0.581
Pm 2.607 1.107 7.761
Pm 0.000 2.388 3.125
Pm 0.000 3.439 8.774
Pm 2.607 4.611 1.594
Dy 2.607 3.578 5.244
Dy 2.607 0.074 4.110
```


2:
Material: Pm3DyAg2
Method: DFT, PBE
State: optimized geometry

```
12
Lattice="-6.892 -1.641 0.124 0.949 -4.453 -6.150 4.369 -2.504 7.247" Properties=species:S:1:pos:R:3 pbc="T T T"
Pm 1.339 -5.831 -2.711
Pm -2.734 -4.160 -4.550
Pm -2.438 -4.993 0.859
Pm -3.209 -1.933 -1.475
Pm -2.913 -2.766 3.933
Pm 0.865 -3.605 0.363
Ag 2.829 -5.893 -0.057
Ag -1.227 -4.288 -1.845
Ag -0.346 -4.309 3.067
Ag -4.403 -2.705 1.279
Dy 0.000 0.000 0.000
Dy 0.475 -2.226 -3.075
```


Going by the energies, 1 is most stable and the next is 223 meV/atom up.